This record from Alexandria via LeMat-Bulk describes crystalline YHoGaHg at its relaxed geometry. The functional is GGA-PBE.

Structure (POSCAR):
```
YHoGaHg
1.0
0.000 3.657 3.657
3.657 0.000 3.657
3.657 3.657 0.000
Y Ho Ga Hg
1 1 1 1
direct
0.000 0.000 0.000
0.500 0.500 0.500
0.250 0.250 0.250
0.750 0.750 0.750
```

SG: No. 216
ΔE_f: -0.524 eV/atom
Total magnetic moment: 0.00 Bohr magnetons per cell

***

This record from Alexandria via LeMat-Bulk describes crystalline RbSe2S2 at its relaxed geometry. The functional is GGA-PBE.

Structure (POSCAR):
```
RbSe2S2
1.0
9.180 0.000 0.000
0.000 9.180 0.000
0.000 0.000 3.930
Rb Se S
2 4 4
direct
0.000 0.000 0.000
0.500 0.500 0.000
0.155 0.345 0.000
0.345 0.845 0.000
0.655 0.155 0.000
0.845 0.655 0.000
0.250 0.250 0.500
0.250 0.750 0.500
0.750 0.250 0.500
0.750 0.750 0.500
```

SG: No. 127
E_form (uncorrected): -0.231 eV per atom
Total magnetic moment: 0.00 Bohr magnetons per cell

***

This record from Alexandria via LeMat-Bulk describes crystalline SiS at its relaxed geometry. The functional is GGA-PBE.

Structure (POSCAR):
```
SiS
1.0
5.338 -1.663 0.000
5.338 1.663 0.000
-0.626 0.000 5.367
Si S
2 2
direct
0.116 0.116 0.033
0.884 0.884 0.967
0.345 0.345 0.228
0.655 0.655 0.772
```

SG: No. 12
E_form (uncorrected): -0.142 eV per atom
Total magnetic moment: 0.00 Bohr magnetons per cell

***

This record from Alexandria via LeMat-Bulk describes crystalline Sn3P2Pd at its relaxed geometry. The functional is GGA-PBE.

Structure (POSCAR):
```
Sn3P2Pd
1.0
-1.962 6.290 3.290
1.962 -6.290 3.290
1.962 6.290 -3.290
Sn P Pd
3 2 1
direct
0.000 0.000 0.000
0.323 0.978 0.345
0.633 0.978 0.655
0.047 0.222 0.825
0.398 0.222 0.175
0.739 0.239 0.500
```

SG: No. 44
ΔE_f: -0.055 eV/atom
Total magnetic moment: 0.00 Bohr magnetons per cell